1.
TaTeI2F: optimized geometry, GGA-PBE.

Cell lengths 5.4827, 5.4827, 5.3268 Å; angles 90.00, 90.00, 90.00 degrees
Fractional positions:
Ta  0.0000  0.0000  0.0000
Te  0.0000  0.0000  0.5000
I  0.0000  0.5000  0.0000
I  0.5000  0.0000  0.0000
F  0.5000  0.5000  0.5000

Computed properties:
Polymorph energy (0 for the lowest one): 0.0 meV/atom
Crystal system: tetragonal


2.
TaTeI2F: optimized geometry, GGA-PBE.

Cell lengths 5.6466, 5.6466, 4.2330 Å; angles 90.00, 90.00, 90.00 degrees
Fractional positions:
Ta  0.0000  0.0000  0.0000
Te  0.5000  0.5000  0.0000
I  0.0000  0.5000  0.5000
I  0.5000  0.0000  0.5000
F  0.5000  0.5000  0.5000

Computed properties:
Polymorph energy (0 for the lowest one): 763.1 meV/atom
Crystal system: tetragonal


3.
TcIF3: optimized geometry, GGA-PBE.

Cell lengths 6.7018, 6.7018, 5.5999 Å; angles 90.00, 90.00, 124.10 degrees
Fractional positions:
Tc  0.0082  0.9918  0.7500
Tc  0.9918  0.0082  0.2500
I  0.2257  0.7743  0.7500
I  0.7743  0.2257  0.2500
F  0.1558  0.8442  0.2500
F  0.2417  0.2417  0.0000
F  0.2417  0.2417  0.5000
F  0.7583  0.7583  0.0000
F  0.7583  0.7583  0.5000
F  0.8442  0.1558  0.7500

Computed properties:
Polymorph energy (0 for the lowest one): 0.0 meV/atom
Crystal system: orthorhombic


4.
TcIF3: optimized geometry, GGA-PBE.

Cell lengths 4.3765, 4.3765, 4.3765 Å; angles 90.00, 90.00, 90.00 degrees
Fractional positions:
Tc  0.0000  0.0000  0.0000
I  0.5000  0.5000  0.5000
F  0.0000  0.0000  0.5000
F  0.0000  0.5000  0.0000
F  0.5000  0.0000  0.0000

Computed properties:
Polymorph energy (0 for the lowest one): 447.4 meV/atom
Crystal system: cubic


5.
TcI2F: optimized geometry, GGA-PBE.

Cell lengths 6.6589, 6.6589, 6.6589 Å; angles 90.00, 90.00, 90.00 degrees
Fractional positions:
Tc  0.0000  0.0000  0.0000
Tc  0.0000  0.5000  0.5000
Tc  0.5000  0.0000  0.5000
Tc  0.5000  0.5000  0.0000
I  0.2500  0.2500  0.2500
I  0.2500  0.2500  0.7500
I  0.2500  0.7500  0.2500
I  0.2500  0.7500  0.7500
I  0.7500  0.2500  0.2500
I  0.7500  0.2500  0.7500
I  0.7500  0.7500  0.2500
I  0.7500  0.7500  0.7500
F  0.0000  0.0000  0.5000
F  0.0000  0.5000  0.0000
F  0.5000  0.0000  0.0000
F  0.5000  0.5000  0.5000

Computed properties:
Polymorph energy (0 for the lowest one): 33.5 meV/atom
Crystal system: cubic


6.
TcI2F: optimized geometry, GGA-PBE.

Cell lengths 6.6509, 6.6509, 10.2507 Å; angles 90.00, 90.00, 90.00 degrees
Fractional positions:
Tc  0.0000  0.0000  0.0000
Tc  0.0000  0.5000  0.2500
Tc  0.5000  0.0000  0.7500
Tc  0.5000  0.5000  0.5000
I  0.2188  0.2500  0.1250
I  0.2500  0.7188  0.3750
I  0.2500  0.7812  0.8750
I  0.2812  0.2500  0.6250
I  0.7188  0.7500  0.6250
I  0.7500  0.2188  0.8750
I  0.7500  0.2812  0.3750
I  0.7812  0.7500  0.1250
F  0.0000  0.0000  0.5000
F  0.0000  0.5000  0.7500
F  0.5000  0.0000  0.2500
F  0.5000  0.5000  0.0000

Computed properties:
Polymorph energy (0 for the lowest one): 0.0 meV/atom
Crystal system: tetragonal


7.
Tc3IF: optimized geometry, GGA-PBE.

Cell lengths 4.9332, 4.9332, 4.9332 Å; angles 90.00, 90.00, 90.00 degrees
Fractional positions:
Tc  0.0000  0.0000  0.5000
Tc  0.0000  0.5000  0.0000
Tc  0.5000  0.0000  0.0000
I  0.0000  0.0000  0.0000
F  0.5000  0.5000  0.5000

Computed properties:
Polymorph energy (0 for the lowest one): 762.1 meV/atom
Crystal system: cubic


8.
Tc2IF: optimized geometry, GGA-PBE.

Cell lengths 4.1908, 4.1908, 16.3513 Å; angles 90.00, 90.00, 90.00 degrees
Fractional positions:
Tc  0.1428  0.2500  0.1250
Tc  0.2500  0.6428  0.3750
Tc  0.2500  0.8572  0.8750
Tc  0.3572  0.2500  0.6250
Tc  0.6428  0.7500  0.6250
Tc  0.7500  0.1428  0.8750
Tc  0.7500  0.3572  0.3750
Tc  0.8572  0.7500  0.1250
I  0.0000  0.0000  0.5000
I  0.0000  0.5000  0.7500
I  0.5000  0.0000  0.2500
I  0.5000  0.5000  0.0000
F  0.0000  0.0000  0.0000
F  0.0000  0.5000  0.2500
F  0.5000  0.0000  0.7500
F  0.5000  0.5000  0.5000

Computed properties:
Polymorph energy (0 for the lowest one): 0.0 meV/atom
Crystal system: tetragonal


9.
Tc3IF: optimized geometry, GGA-PBE.

Cell lengths 4.3238, 4.3238, 4.3238 Å; angles 90.00, 90.00, 90.00 degrees
Fractional positions:
Tc  0.0000  0.0000  0.5000
Tc  0.0000  0.5000  0.0000
Tc  0.5000  0.0000  0.0000
I  0.5000  0.5000  0.5000
F  0.0000  0.0000  0.0000

Computed properties:
Polymorph energy (0 for the lowest one): 0.0 meV/atom
Crystal system: cubic


10.
Tc2IF: optimized geometry, GGA-PBE.

Cell lengths 6.2468, 6.2468, 6.2468 Å; angles 90.00, 90.00, 90.00 degrees
Fractional positions:
Tc  0.2500  0.2500  0.2500
Tc  0.2500  0.2500  0.7500
Tc  0.2500  0.7500  0.2500
Tc  0.2500  0.7500  0.7500
Tc  0.7500  0.2500  0.2500
Tc  0.7500  0.2500  0.7500
Tc  0.7500  0.7500  0.2500
Tc  0.7500  0.7500  0.7500
I  0.0000  0.0000  0.0000
I  0.0000  0.5000  0.5000
I  0.5000  0.0000  0.5000
I  0.5000  0.5000  0.0000
F  0.0000  0.0000  0.5000
F  0.0000  0.5000  0.0000
F  0.5000  0.0000  0.0000
F  0.5000  0.5000  0.5000

Computed properties:
Polymorph energy (0 for the lowest one): 319.4 meV/atom
Crystal system: cubic


11.
TcIF3: optimized geometry, GGA-PBE.

Cell lengths 8.7830, 8.7830, 6.3914 Å; angles 103.34, 103.34, 55.26 degrees
Fractional positions:
Tc  0.0008  0.3251  0.3303
Tc  0.3251  0.0008  0.8303
Tc  0.6749  0.9992  0.1697
Tc  0.9992  0.6749  0.6697
I  0.1086  0.8914  0.2500
I  0.3161  0.6839  0.7500
I  0.6839  0.3161  0.2500
I  0.8914  0.1086  0.7500
F  0.1318  0.5145  0.8866
F  0.1486  0.4616  0.4441
F  0.1570  0.1917  0.6077
F  0.1917  0.1570  0.1077
F  0.4616  0.1486  0.9441
F  0.4855  0.8682  0.6134
F  0.5145  0.1318  0.3866
F  0.5384  0.8514  0.0559
F  0.8083  0.8430  0.8923
F  0.8430  0.8083  0.3923
F  0.8514  0.5384  0.5559
F  0.8682  0.4855  0.1134

Computed properties:
Polymorph energy (0 for the lowest one): 58.6 meV/atom
Crystal system: monoclinic


12.
Tc2IF4: optimized geometry, GGA-PBE.

Cell lengths 4.9329, 4.9329, 13.6309 Å; angles 90.00, 90.00, 90.00 degrees
Fractional positions:
Tc  0.0000  0.0000  0.1095
Tc  0.0000  0.0000  0.8905
Tc  0.5000  0.5000  0.3905
Tc  0.5000  0.5000  0.6095
I  0.0000  0.0000  0.5000
I  0.5000  0.5000  0.0000
F  0.0000  0.0000  0.2532
F  0.0000  0.0000  0.7468
F  0.0000  0.5000  0.0000
F  0.0000  0.5000  0.5000
F  0.5000  0.0000  0.0000
F  0.5000  0.0000  0.5000
F  0.5000  0.5000  0.2468
F  0.5000  0.5000  0.7532

Computed properties:
Crystal system: tetragonal


Spin magnetization? In order: 0.02; 2.12; 1.13; 4.01; 0.00; 0.00; 4.88; 0.00; 0.65; 1.35; 2.78; 9.49 μB per formula unit.
Energy relative to the elements, uncorrected? In order: -0.091; 0.672; -1.359; -0.912; -0.006; -0.040; 2.089; 0.212; 1.327; 0.532; -1.300; -0.160 eV/atom.